This record from the Alexandria database describes a relaxed KSi2SbO8 crystal. The functional is PBE.

Structure (POSCAR):
```
KSi2SbO8
1.0
5.129 -0.101 0.688
2.276 4.597 0.688
1.498 0.910 7.480
O K Sb Si
8 1 1 2
Cartesian
3.095 3.467 2.120
5.808 1.939 6.735
4.400 4.259 6.735
4.976 3.021 3.986
4.504 1.147 2.120
3.927 2.385 4.870
3.165 1.922 7.326
5.738 3.484 1.530
0.749 0.455 3.740
0.000 0.000 0.000
4.556 2.766 2.340
4.348 2.640 6.516
```

Properties
**SG**: No. 12
**E_form (uncorrected)**: -1.9563 eV per atom